[1]
# BePtSe2 (PBE, relaxed)
# magnetic moment	0.0	Bohr magnetons per cell
# raw formation energy	0.06	eV per atom
data_BePtSe2
_cell_length_a 5.125
_cell_length_b 5.125
_cell_length_c 5.292
_cell_angle_alpha 90.00
_cell_angle_beta 90.00
_cell_angle_gamma 90.00
_symmetry_space_group_name_H-M 'I 4/m m m'
_symmetry_Int_Tables_number 139
_symmetry_space_group_name_Hall '-I 4 2'
loop_
_atom_site_label
_atom_site_fract_x
_atom_site_fract_y
_atom_site_fract_z
Be1 0.000 0.000 0.000
Pt1 0.000 0.000 0.500
Se1 0.000 0.500 0.000


[2]
# TiBePtSe2 (PBE, relaxed)
# magnetic moment	0.0	Bohr magnetons per cell
# raw formation energy	0.35	eV per atom
data_TiBePtSe2
_cell_length_a 4.353
_cell_length_b 4.353
_cell_length_c 4.423
_cell_angle_alpha 90.00
_cell_angle_beta 90.00
_cell_angle_gamma 90.00
_symmetry_space_group_name_H-M 'P 4/m m m'
_symmetry_Int_Tables_number 123
_symmetry_space_group_name_Hall '-P 4 2'
loop_
_atom_site_label
_atom_site_fract_x
_atom_site_fract_y
_atom_site_fract_z
Ti1 0.000 0.000 0.000
Be1 0.000 0.000 0.500
Pt1 0.500 0.500 0.000
Se1 0.000 0.500 0.500


[3]
# Be2SiPt2 (PBE, relaxed)
# magnetic moment	0.0	Bohr magnetons per cell
# relative energy among the computed polymorphs	441	meV per atom
# raw formation energy	-0.05	eV per atom
data_Be2SiPt2
_cell_length_a 3.881
_cell_length_b 3.881
_cell_length_c 9.339
_cell_angle_alpha 90.00
_cell_angle_beta 90.00
_cell_angle_gamma 90.00
_symmetry_space_group_name_H-M 'I 4/m m m'
_symmetry_Int_Tables_number 139
_symmetry_space_group_name_Hall '-I 4 2'
loop_
_atom_site_label
_atom_site_fract_x
_atom_site_fract_y
_atom_site_fract_z
Be1 0.000 0.000 0.118
Si1 0.000 0.000 0.500
Pt1 0.000 0.500 0.250